HoSn6Ir | GGA-PBE | relaxed

Unit cell a=6.4088 b=10.9770 c=6.4379 alpha=90.00 beta=114.57 gamma=90.00
Atoms (fractional coordinates):
Ho 0.0000 0.0000 0.0000
Ho 0.5000 0.5000 0.0000
Sn 0.0498 0.5000 0.2798
Sn 0.0963 0.2236 0.7488
Sn 0.0963 0.7764 0.7488
Sn 0.4037 0.2764 0.2512
Sn 0.4037 0.7236 0.2512
Sn 0.4502 0.0000 0.7202
Sn 0.5498 0.0000 0.2798
Sn 0.5963 0.2764 0.7488
Sn 0.5963 0.7236 0.7488
Sn 0.9037 0.2236 0.2512
Sn 0.9037 0.7764 0.2512
Sn 0.9502 0.5000 0.7202
Ir 0.0000 0.0000 0.5000
Ir 0.5000 0.5000 0.5000

## Properties
V in Å³/atom: 25.743
SG: No. 12
D(E_F) in states/eV per cell: 8.89
Formation energy from the elements in kJ per mole of atoms: -14.1